# GGA-PBE ThAlOs, optimized geometry
# ΔE_f, eV per atom: -0.088
# VASP energy, eV per atom: -7.55
data_ThAlOs
_chemical_formula_sum 'Th4 Al4 Os4'
_space_group_name_H-M_alt 'C m c m'
_space_group_IT_number 63
_space_group_name_Hall '-C 2c 2'
_cell_length_a 4.338
_cell_length_b 16.055
_cell_length_c 4.085
_cell_angle_alpha 90.00
_cell_angle_beta 90.00
_cell_angle_gamma 90.00
loop_
_atom_site_label
_atom_site_fract_x
_atom_site_fract_y
_atom_site_fract_z
_atom_site_occupancy
Th1 0.000 0.177 0.250 1
Al1 0.000 0.460 0.750 1
Os1 0.000 0.368 0.250 1

---

# GGA-PBE Ac2Pm4Nd2Ho, optimized geometry
# ΔE_f, eV per atom: 0.033
# VASP energy, eV per atom: -4.56
data_Ac2Pm4Nd2Ho
_chemical_formula_sum 'Ac4 Pm8 Nd4 Ho2'
_space_group_name_H-M_alt 'C 1 2/m 1'
_space_group_IT_number 12
_space_group_name_Hall '-C 2y'
_cell_length_a 17.721
_cell_length_b 3.714
_cell_length_c 10.139
_cell_angle_alpha 90.00
_cell_angle_beta 99.16
_cell_angle_gamma 90.00
loop_
_atom_site_label
_atom_site_fract_x
_atom_site_fract_y
_atom_site_fract_z
_atom_site_occupancy
Ac1 0.162 0.000 0.078 1
Pm1 0.012 0.500 0.819 1
Pm2 0.169 0.000 0.724 1
Nd1 0.163 0.500 0.421 1
Ho1 0.000 0.000 0.500 1

---

# GGA-PBE TeMoPtN2, optimized geometry
# VASP energy, eV per atom: -5.83
# Energy relative to the elements, uncorrected, meV per atom: 1503
# Energy relative to the lowest polymorph listed for this composition, meV per atom: 886.9
data_TeMoPtN2
_chemical_formula_sum 'Te1 Mo1 Pt1 N2'
_space_group_name_H-M_alt 'P 4/m m m'
_space_group_IT_number 123
_space_group_name_Hall '-P 4 2'
_cell_length_a 3.819
_cell_length_b 3.819
_cell_length_c 7.872
_cell_angle_alpha 90.00
_cell_angle_beta 90.00
_cell_angle_gamma 90.00
loop_
_atom_site_label
_atom_site_fract_x
_atom_site_fract_y
_atom_site_fract_z
_atom_site_occupancy
Te1 0.000 0.000 0.000 1
Mo1 0.500 0.500 0.000 1
Pt1 0.000 0.000 0.500 1
N1 0.000 0.500 0.500 1

---

# GGA-PBE Cr3SnPb, optimized geometry
# ΔE_f, eV per atom: 1.152
# VASP energy, eV per atom: -6.16
# Energy relative to the lowest polymorph listed for this composition, meV per atom: 0.0
data_Cr3SnPb
_chemical_formula_sum 'Cr3 Sn1 Pb1'
_space_group_name_H-M_alt 'P m -3 m'
_space_group_IT_number 221
_space_group_name_Hall '-P 4 2 3'
_cell_length_a 5.107
_cell_length_b 5.107
_cell_length_c 5.107
_cell_angle_alpha 90.00
_cell_angle_beta 90.00
_cell_angle_gamma 90.00
loop_
_atom_site_label
_atom_site_fract_x
_atom_site_fract_y
_atom_site_fract_z
_atom_site_occupancy
Cr1 0.000 0.000 0.500 1
Sn1 0.000 0.000 0.000 1
Pb1 0.500 0.500 0.500 1

---

# GGA-PBE La15Pr2Mg2, optimized geometry
# ΔE_f, eV per atom: 0.158
# VASP energy, eV per atom: -4.40
data_La15Pr2Mg2
_chemical_formula_sum 'La45 Pr6 Mg6'
_space_group_name_H-M_alt 'R -3 m'
_space_group_IT_number 166
_space_group_name_Hall '-R 3 2"'
_cell_length_a 11.4527
_cell_length_b 11.4527
_cell_length_c 18.0537
_cell_angle_alpha 90.00
_cell_angle_beta 90.00
_cell_angle_gamma 120.00
loop_
_atom_site_label
_atom_site_fract_x
_atom_site_fract_y
_atom_site_fract_z
_atom_site_occupancy
La1 0.0000 0.2949 0.0000 1
La2 0.0000 0.5000 0.5000 1
La3 0.0281 0.5140 0.1391 1
Pr1 0.0000 0.0000 0.3068 1
Mg1 0.0000 0.0000 0.0917 1

---

# GGA-PBE AcCdAs2, optimized geometry
# ΔE_f, eV per atom: -0.391
# VASP energy, eV per atom: -3.97
# Energy relative to the lowest polymorph listed for this composition, meV per atom: 206.4
data_AcCdAs2
_chemical_formula_sum 'Ac1 Cd1 As2'
_space_group_name_H-M_alt 'P 4/m m m'
_space_group_IT_number 123
_space_group_name_Hall '-P 4 2'
_cell_length_a 3.949
_cell_length_b 3.949
_cell_length_c 6.565
_cell_angle_alpha 90.00
_cell_angle_beta 90.00
_cell_angle_gamma 90.00
loop_
_atom_site_label
_atom_site_fract_x
_atom_site_fract_y
_atom_site_fract_z
_atom_site_occupancy
Ac1 0.000 0.000 0.000 1
Cd1 0.000 0.000 0.500 1
As1 0.500 0.500 0.284 1